(1)
# KReIr2

Crystalline KReIr2 at its relaxed geometry (PBE-GGA, Alexandria via LeMat-Bulk).

Cell and atoms, written as CIF:
```
data_KReIr2
_cell_length_a 5.523
_cell_length_b 5.523
_cell_length_c 6.226
_cell_angle_alpha 105.27
_cell_angle_beta 105.27
_cell_angle_gamma 28.56
_symmetry_space_group_name_H-M 'P 1'
_symmetry_Int_Tables_number 1
_symmetry_space_group_name_Hall 'P 1'
loop_
_atom_site_label
_atom_site_fract_x
_atom_site_fract_y
_atom_site_fract_z
K1 0.000 0.000 0.000
Re1 0.204 0.204 0.573
Ir1 0.496 0.496 0.519
Ir2 0.791 0.791 0.306
```

Values from the calculation:
Final energy in eV/cell: -28.45
Space-group type: Cm, No. 8
Total magnetic moment in μB/f.u.: 0.15
Distance to the lowest polymorph of the same formula in eV/atom: 0.359
DFT formation energy in eV/atom: 0.705


(2)
# KReIr2

Crystalline KReIr2 at its relaxed geometry (PBE-GGA, Alexandria via LeMat-Bulk).

Cell and atoms, written as CIF:
```
data_KReIr2
_cell_length_a 2.851
_cell_length_b 2.851
_cell_length_c 9.036
_cell_angle_alpha 90.00
_cell_angle_beta 90.00
_cell_angle_gamma 90.00
_symmetry_space_group_name_H-M 'P 1'
_symmetry_Int_Tables_number 1
_symmetry_space_group_name_Hall 'P 1'
loop_
_atom_site_label
_atom_site_fract_x
_atom_site_fract_y
_atom_site_fract_z
K1 0.000 0.000 0.000
Re1 0.000 0.000 0.500
Ir1 0.500 0.500 0.308
Ir2 0.500 0.500 0.692
```

Values from the calculation:
Final energy in eV/cell: -29.89
Space-group type: P4/mmm, No. 123
Total magnetic moment in μB/f.u.: 0.00
Distance to the lowest polymorph of the same formula in eV/atom: 0.000
DFT formation energy in eV/atom: 0.346


(3)
# KRe2Ir

Crystalline KRe2Ir at its relaxed geometry (PBE-GGA, Alexandria via LeMat-Bulk).

Cell and atoms, written as CIF:
```
data_KRe2Ir
_cell_length_a 5.286
_cell_length_b 5.286
_cell_length_c 5.286
_cell_angle_alpha 136.64
_cell_angle_beta 136.64
_cell_angle_gamma 62.99
_symmetry_space_group_name_H-M 'P 1'
_symmetry_Int_Tables_number 1
_symmetry_space_group_name_Hall 'P 1'
loop_
_atom_site_label
_atom_site_fract_x
_atom_site_fract_y
_atom_site_fract_z
K1 0.000 0.000 0.000
Re1 0.250 0.750 0.500
Re2 0.750 0.250 0.500
Ir1 0.500 0.500 0.000
```

Values from the calculation:
Final energy in eV/cell: -28.12
Space-group type: I4/mmm, No. 139
Total magnetic moment in μB/f.u.: 0.00
Distance to the lowest polymorph of the same formula in eV/atom: 1.082
DFT formation energy in eV/atom: 1.684


(4)
# KReIr

Crystalline KReIr at its relaxed geometry (PBE-GGA, Alexandria via LeMat-Bulk).

Cell and atoms, written as CIF:
```
data_KReIr
_cell_length_a 7.665
_cell_length_b 7.665
_cell_length_c 7.665
_cell_angle_alpha 157.95
_cell_angle_beta 157.95
_cell_angle_gamma 31.38
_symmetry_space_group_name_H-M 'P 1'
_symmetry_Int_Tables_number 1
_symmetry_space_group_name_Hall 'P 1'
loop_
_atom_site_label
_atom_site_fract_x
_atom_site_fract_y
_atom_site_fract_z
K1 0.000 0.000 0.000
Re1 0.288 0.288 0.000
Ir1 0.687 0.687 0.000
```

Values from the calculation:
Final energy in eV/cell: -20.14
Space-group type: I4mm, No. 107
Total magnetic moment in μB/f.u.: 0.00
Distance to the lowest polymorph of the same formula in eV/atom: 0.160
DFT formation energy in eV/atom: 0.757